[1]
Here is a relaxed structure of KAg2P from the Alexandria database. Energies are from PBE-GGA.

Values from the calculation:
total DFT energy (no corrections): -2.716 eV/atom
ΔE_f: 336 meV per atom
N(E_F): 1.3 states/eV/f.u.

Structure (POSCAR):
```
KAg2P
1.0
-0.278 0.734 2.778
1.023 -5.241 1.486
5.729 -1.712 1.025
Ag K P
2 1 1
Direct
0.000 0.000 0.000 Ag
0.500 0.500 0.000 Ag
0.500 0.500 0.500 K
0.000 0.000 0.500 P
```



[2]
Here is a relaxed structure of Mn4VCr from the Alexandria database. Energies are from PBE-GGA.

Values from the calculation:
total DFT energy (no corrections): -9.208 eV/atom
ΔE_f: 29 meV per atom
distance to the lowest polymorph of the same formula: 27 meV/atom
N(E_F): 9.3 states/eV/f.u.

Structure (POSCAR):
```
Mn4VCr
1.0
4.627 0.000 0.000
2.314 4.007 0.000
2.314 1.336 3.778
Cr Mn V
1 4 1
Direct
0.000 0.000 0.000 Cr
0.625 0.625 0.126 Mn
0.625 0.126 0.625 Mn
0.625 0.625 0.625 Mn
0.126 0.625 0.625 Mn
0.250 0.250 0.250 V
```



[3]
Here is a relaxed structure of Ta5Si from the Alexandria database. Energies are from PBE-GGA.

Values from the calculation:
total DFT energy (no corrections): -10.922 eV/atom
distance to the lowest polymorph of the same formula: 0 meV/atom
E_form (uncorrected): -0.844 eV per formula unit
N(E_F): 6.0 states/eV/f.u.

Structure (POSCAR):
```
Ta5Si
1.0
-6.008 -0.667 3.244
3.760 -0.330 -5.729
0.951 -4.323 0.873
Ta Si
5 1
Direct
0.337 0.663 0.500 Ta
0.159 0.841 0.000 Ta
0.000 0.000 0.500 Ta
0.841 0.159 0.000 Ta
0.663 0.337 0.500 Ta
0.500 0.500 0.000 Si
```



[4]
Here is a relaxed structure of Nd2SBr from the Alexandria database. Energies are from PBE-GGA.

Values from the calculation:
total DFT energy (no corrections): -5.323 eV/atom
distance to the lowest polymorph of the same formula: 105 meV/atom
E_form (uncorrected): -5.954 eV per formula unit
N(E_F): 3.7 states/eV/f.u.

Structure (POSCAR):
```
Nd2SBr
1.0
-2.808 1.989 1.657
-0.888 -0.635 3.660
4.207 6.201 4.089
Nd S Br
2 1 1
Direct
0.092 0.092 0.725 Nd
0.242 0.242 0.275 Nd
0.500 0.500 0.499 S
0.666 0.666 0.002 Br
```



Values for size of the total moment, μB/f.u., ordered as above
0.0, 1.3, 0.0, 0.1